Record 1
Below is crystalline ErCuB at its relaxed geometry, with properties calculated at the GGA-PBE level. Values from VASP.

Properties
ΔE to the lowest computed polymorph (eV per atom): 0.780
Raw total energy (eV per cell): -12.416
Space group: No. 216

Quantum ESPRESSO input file:
```
&SYSTEM
  ibrav = 0, nat = 3, ntyp = 3
/
ATOMIC_SPECIES
Er 167.26 Er.upf
Cu 63.55 Cu.upf
B 10.81 B.upf
CELL_PARAMETERS angstrom
0.0000 3.0364 3.0364
3.0364 0.0000 3.0364
3.0364 3.0364 0.0000
ATOMIC_POSITIONS crystal
Er 0.0000 0.0000 0.0000
Cu 0.2500 0.2500 0.2500
B 0.7500 0.7500 0.7500
```

---

Record 2
Below is crystalline ErCuB4 at its relaxed geometry, with properties calculated at the GGA-PBE level. Values from VASP.

Properties
ΔE to the lowest computed polymorph (eV per atom): 0.018
Raw total energy (eV per cell): -35.808
Space group: No. 71

Quantum ESPRESSO input file:
```
&SYSTEM
  ibrav = 0, nat = 6, ntyp = 3
/
ATOMIC_SPECIES
Er 167.26 Er.upf
Cu 63.55 Cu.upf
B 10.81 B.upf
CELL_PARAMETERS angstrom
-1.5768 2.6337 3.7547
1.5768 -2.6337 3.7547
1.5768 2.6337 -3.7547
ATOMIC_POSITIONS crystal
Er 0.0000 0.0000 0.0000
Cu 0.5000 0.5000 0.0000
B 0.0609 0.7391 0.3218
B 0.4174 0.7391 0.6782
B 0.5826 0.2609 0.3218
B 0.9391 0.2609 0.6782
```

---

Record 3
Below is crystalline ErCuB at its relaxed geometry, with properties calculated at the GGA-PBE level. Values from VASP.

Properties
ΔE to the lowest computed polymorph (eV per atom): 0.000
Raw total energy (eV per cell): -14.757
Space group: No. 216

Quantum ESPRESSO input file:
```
&SYSTEM
  ibrav = 0, nat = 3, ntyp = 3
/
ATOMIC_SPECIES
Er 167.26 Er.upf
Cu 63.55 Cu.upf
B 10.81 B.upf
CELL_PARAMETERS angstrom
0.0000 2.8943 2.8943
2.8943 0.0000 2.8943
2.8943 2.8943 0.0000
ATOMIC_POSITIONS crystal
Er 0.0000 0.0000 0.0000
Cu 0.5000 0.5000 0.5000
B 0.7500 0.7500 0.7500
```

---

Record 4
Below is crystalline ErCuB4 at its relaxed geometry, with properties calculated at the GGA-PBE level. Values from VASP.

Properties
ΔE to the lowest computed polymorph (eV per atom): 0.000
Raw total energy (eV per cell): -35.916
Space group: No. 191

Quantum ESPRESSO input file:
```
&SYSTEM
  ibrav = 0, nat = 6, ntyp = 3
/
ATOMIC_SPECIES
Er 167.26 Er.upf
Cu 63.55 Cu.upf
B 10.81 B.upf
CELL_PARAMETERS angstrom
3.1847 0.0000 0.0000
-1.5924 2.7580 0.0000
0.0000 0.0000 6.6077
ATOMIC_POSITIONS crystal
Er 0.0000 0.0000 0.0000
Cu 0.0000 0.0000 0.5000
B 0.3333 0.6667 0.2794
B 0.3333 0.6667 0.7206
B 0.6667 0.3333 0.2794
B 0.6667 0.3333 0.7206
```

---

Record 5
Below is crystalline HoErCu2B2N2 at its relaxed geometry, with properties calculated at the GGA-PBE level. Values from VASP.

Properties
Raw total energy (eV per cell): -53.828
Space group: No. 99

Quantum ESPRESSO input file:
```
&SYSTEM
  ibrav = 0, nat = 8, ntyp = 5
/
ATOMIC_SPECIES
Ho 164.93 Ho.upf
Er 167.26 Er.upf
Cu 63.55 Cu.upf
B 10.81 B.upf
N 14.01 N.upf
CELL_PARAMETERS angstrom
3.4775 0.0000 0.0000
0.0000 3.4775 0.0000
0.0000 0.0000 7.6695
ATOMIC_POSITIONS crystal
Ho 0.0000 0.0000 0.0000
Er 0.5000 0.5000 0.6715
Cu 0.0000 0.5000 0.3357
Cu 0.5000 0.0000 0.3357
B 0.0000 0.0000 0.5106
B 0.5000 0.5000 0.1601
N 0.0000 0.0000 0.6987
N 0.5000 0.5000 0.9716
```

---

Record 6
Below is crystalline YErCu2B2N2 at its relaxed geometry, with properties calculated at the GGA-PBE level. Values from VASP.

Properties
Raw total energy (eV per cell): -55.626
Space group: No. 99

Quantum ESPRESSO input file:
```
&SYSTEM
  ibrav = 0, nat = 8, ntyp = 5
/
ATOMIC_SPECIES
Y 88.91 Y.upf
Er 167.26 Er.upf
Cu 63.55 Cu.upf
B 10.81 B.upf
N 14.01 N.upf
CELL_PARAMETERS angstrom
3.4860 0.0000 0.0000
0.0000 3.4860 0.0000
0.0000 0.0000 7.6959
ATOMIC_POSITIONS crystal
Y 0.0000 0.0000 0.0000
Er 0.5000 0.5000 0.6706
Cu 0.0000 0.5000 0.3354
Cu 0.5000 0.0000 0.3354
B 0.0000 0.0000 0.5091
B 0.5000 0.5000 0.1596
N 0.0000 0.0000 0.6967
N 0.5000 0.5000 0.9716
```

---

Record 7
Below is crystalline FeCuB2 at its relaxed geometry, with properties calculated at the GGA-PBE level. Values from VASP.

Properties
ΔE to the lowest computed polymorph (eV per atom): 0.900
Raw total energy (eV per cell): -21.784
Space group: No. 216

Quantum ESPRESSO input file:
```
&SYSTEM
  ibrav = 0, nat = 4, ntyp = 3
/
ATOMIC_SPECIES
Fe 55.84 Fe.upf
Cu 63.55 Cu.upf
B 10.81 B.upf
CELL_PARAMETERS angstrom
0.0000 2.5891 2.5891
2.5891 0.0000 2.5891
2.5891 2.5891 0.0000
ATOMIC_POSITIONS crystal
Fe 0.0000 0.0000 0.0000
Cu 0.7500 0.7500 0.7500
B 0.2500 0.2500 0.2500
B 0.5000 0.5000 0.5000
```

---

Record 8
Below is crystalline FeCuB4 at its relaxed geometry, with properties calculated at the GGA-PBE level. Values from VASP.

Properties
ΔE to the lowest computed polymorph (eV per atom): 0.000
Raw total energy (eV per cell): -37.603
Space group: No. 191

Quantum ESPRESSO input file:
```
&SYSTEM
  ibrav = 0, nat = 6, ntyp = 3
/
ATOMIC_SPECIES
Fe 55.84 Fe.upf
Cu 63.55 Cu.upf
B 10.81 B.upf
CELL_PARAMETERS angstrom
2.9586 0.0000 0.0000
-1.4793 2.5623 0.0000
0.0000 0.0000 6.5919
ATOMIC_POSITIONS crystal
Fe 0.0000 0.0000 0.0000
Cu 0.0000 0.0000 0.5000
B 0.3333 0.6667 0.2332
B 0.3333 0.6667 0.7668
B 0.6667 0.3333 0.2332
B 0.6667 0.3333 0.7668
```